# SCAN CrIrRh, single point on PBEsol structure
data_CrIrRh
_chemical_formula_sum 'Cr2 Ir2 Rh2'
_cell_length_a 2.661
_cell_length_b 2.661
_cell_length_c 10.999
_cell_angle_alpha 90.00
_cell_angle_beta 90.00
_cell_angle_gamma 90.00
_space_group_name_H-M_alt 'I 4 m m'
_space_group_IT_number 107
_space_group_name_Hall 'I 4 -2'
loop_
_atom_site_label
_atom_site_fract_x
_atom_site_fract_y
_atom_site_fract_z
Cr1 0.000 0.000 0.000
Ir1 0.000 0.000 0.656
Rh1 0.000 0.000 0.341
# ΔE_f = -0.1642 eV/atom
# electronic total energy = -41.249 eV/atom
# total magnetization = 0.000 μB/cell
# calculated volume = 12.98 Å³/atom
# distance to the lowest polymorph of the same formula = 0.0 meV per atom
# calculated density = 14.800 Mg/m³

=====

# SCAN CuHgAu2, single point on PBEsol structure
data_CuHgAu2
_chemical_formula_sum 'Cu2 Hg2 Au4'
_cell_length_a 9.726
_cell_length_b 2.988
_cell_length_c 4.766
_cell_angle_alpha 90.00
_cell_angle_beta 106.83
_cell_angle_gamma 90.00
_space_group_name_H-M_alt 'C 1 2/m 1'
_space_group_IT_number 12
loop_
_space_group_symop_operation_xyz
'x,y,z'
'-x,-y,-z'
'-x,y,-z'
'x,-y,z'
'x+1/2,y+1/2,z'
'-x+1/2,-y+1/2,-z'
'-x+1/2,y+1/2,-z'
'x+1/2,-y+1/2,z'
loop_
_atom_site_label
_atom_site_fract_x
_atom_site_fract_y
_atom_site_fract_z
Cu1 0.000 0.000 0.000
Hg1 0.000 0.500 0.500
Au1 0.230 0.500 0.233
# ΔE_f = 0.0556 eV/atom
# electronic total energy = -55.364 eV/atom
# total magnetization = 0.000 μB/cell
# calculated volume = 16.57 Å³/atom
# calculated density = 16.484 Mg/m³

=====

# SCAN BaAgTe, single point on PBEsol structure
data_BaAgTe
_chemical_formula_sum 'Ba4 Ag4 Te4'
_cell_length_a 7.644
_cell_length_b 7.644
_cell_length_c 7.644
_cell_angle_alpha 90.00
_cell_angle_beta 90.00
_cell_angle_gamma 90.00
_space_group_name_H-M_alt 'F -4 3 m'
_space_group_IT_number 216
_space_group_name_Hall 'F -4 2 3'
loop_
_atom_site_label
_atom_site_fract_x
_atom_site_fract_y
_atom_site_fract_z
Ba1 0.000 0.000 0.000
Ag1 0.000 0.000 0.500
Te1 0.250 0.250 0.250
# raw formation energy = -0.5840 eV per atom
# electronic total energy = -36.640 eV/atom
# total magnetization = 0.018 μB/cell
# calculated volume = 37.22 Å³/atom
# distance to the lowest polymorph of the same formula = 313.6 meV per atom
# calculated density = 5.543 Mg/m³

=====

# SCAN FeRu2, single point on PBEsol structure
data_FeRu2
_chemical_formula_sum 'Fe4 Ru8'
_cell_length_a 2.633
_cell_length_b 13.472
_cell_length_c 4.142
_cell_angle_alpha 90.00
_cell_angle_beta 90.00
_cell_angle_gamma 90.00
_space_group_name_H-M_alt 'C m c m'
_space_group_IT_number 63
_space_group_name_Hall '-C 2c 2'
loop_
_atom_site_label
_atom_site_fract_x
_atom_site_fract_y
_atom_site_fract_z
Fe1 0.000 0.225 0.250
Ru1 0.000 0.118 0.750
Ru2 0.000 0.441 0.750
# ΔE_f = 0.1211 eV/atom
# electronic total energy = -29.140 eV/atom
# total magnetization = 8.561 μB/cell
# calculated volume = 12.25 Å³/atom
# calculated density = 11.662 Mg/m³

=====

# SCAN ScRe2Au, single point on PBEsol structure
data_ScRe2Au
_chemical_formula_sum 'Sc1 Re2 Au1'
_cell_length_a 2.687
_cell_length_b 2.687
_cell_length_c 8.905
_cell_angle_alpha 90.00
_cell_angle_beta 90.00
_cell_angle_gamma 90.00
_space_group_name_H-M_alt 'P 4/m m m'
_space_group_IT_number 123
_space_group_name_Hall '-P 4 2'
loop_
_atom_site_label
_atom_site_fract_x
_atom_site_fract_y
_atom_site_fract_z
Sc1 0.000 0.000 0.000
Re1 0.500 0.500 0.255
Au1 0.000 0.000 0.500
# ΔE_f = 0.3097 eV/atom
# electronic total energy = -56.088 eV/atom
# total magnetization = 0.000 μB/cell
# calculated volume = 16.07 Å³/atom
# distance to the lowest polymorph of the same formula = 258.5 meV per atom
# calculated density = 15.867 Mg/m³

=====

# SCAN KAgSnSe3, single point on PBEsol structure
data_KAgSnSe3
_chemical_formula_sum 'K8 Ag8 Sn8 Se24'
_cell_length_a 8.083
_cell_length_b 8.083
_cell_length_c 20.139
_cell_angle_alpha 90.00
_cell_angle_beta 90.00
_cell_angle_gamma 90.00
_space_group_name_H-M_alt 'P 4 c c'
_space_group_IT_number 103
loop_
_space_group_symop_operation_xyz
'x,y,z'
'-y,x,z'
'-x,-y,z'
'y,-x,z'
'-x,y,z+1/2'
'y,x,z+1/2'
'x,-y,z+1/2'
'-y,-x,z+1/2'
loop_
_atom_site_label
_atom_site_fract_x
_atom_site_fract_y
_atom_site_fract_z
K1 0.000 0.000 0.000
K2 0.000 0.000 0.189
K3 0.500 0.500 0.040
K4 0.500 0.500 0.337
Ag1 0.008 0.312 0.344
Sn1 0.000 0.500 0.008
Sn2 0.000 0.500 0.185
Se1 0.158 0.325 0.096
Se2 0.193 0.318 0.752
Se3 0.200 0.323 0.440
# raw formation energy = -0.6535 eV per atom
# electronic total energy = -23.296 eV/atom
# total magnetization = 0.000 μB/cell
# calculated volume = 27.41 Å³/atom
# calculated density = 5.074 Mg/m³